# DyBiWO6 GGA+U optimized geometry
data_DyBiWO6
_space_group_name_H-M_alt 'P -3 1 c'
_space_group_IT_number 163
_space_group_name_Hall '-P 3 2c'
_cell_length_a 5.6114
_cell_length_b 5.6114
_cell_length_c 9.6357
_cell_angle_alpha 90.00
_cell_angle_beta 90.00
_cell_angle_gamma 120.00
loop_
_atom_site_label
_atom_site_fract_x
_atom_site_fract_y
_atom_site_fract_z
_atom_site_occupancy
Dy1 0.3333 0.6667 0.2500 1
Bi1 0.0000 0.0000 0.0000 1
W1 0.3333 0.6667 0.7500 1
O1 0.0405 0.3780 0.6371 1
# final energy: -7.2951 eV per atom
# crystal system: trigonal
# DOS at the Fermi energy: 0.00 states/eV per cell